BaMoRh2 after structural relaxation, computed with PBE.

```
4
Lattice="2.949 0.000 0.000 0.000 3.944 0.000 0.000 0.000 7.329" Properties=species:S:1:pos:R:3 pbc="T T T"
Rh 1.475 1.972 1.363
Rh 0.000 0.000 7.192
Ba 0.000 0.000 3.510
Mo 1.475 1.972 6.259
```

Offset from the most stable computed form, meV/atom: 306